# 1
The following is a DFT calculation (PBE) of a geometry-optimized BiPt17 structure.

a = 8.719 Å, b = 3.960 Å, c = 30.487 Å
α = 90.00°, β = 90.08°, γ = 90.00°
Space group Cm (No. 8)
Inequivalent atoms, fractional coordinates:
1 Bi 0.000 0.000 0.000 [2 per cell]
2 Pt 0.002 0.500 0.547 [2 per cell]
3 Pt 0.093 0.000 0.609 [2 per cell]
4 Pt 0.095 0.000 0.904 [2 per cell]
5 Pt 0.096 0.500 0.756 [2 per cell]
6 Pt 0.194 0.000 0.815 [2 per cell]
7 Pt 0.196 0.500 0.668 [2 per cell]
8 Pt 0.196 0.500 0.965 [2 per cell]
9 Pt 0.197 0.000 0.518 [2 per cell]
10 Pt 0.294 0.500 0.581 [2 per cell]
11 Pt 0.295 0.500 0.875 [2 per cell]
12 Pt 0.296 0.000 0.727 [2 per cell]
13 Pt 0.392 0.500 0.497 [2 per cell]
14 Pt 0.393 0.000 0.937 [2 per cell]
15 Pt 0.396 0.000 0.639 [2 per cell]
16 Pt 0.396 0.500 0.786 [2 per cell]
17 Pt 0.494 0.000 0.845 [2 per cell]
18 Pt 0.496 0.500 0.698 [2 per cell]

## Properties
VASP energy: -5.844 eV per atom
Total moment: 0.00 μB per cell
Polymorph energy (0 for the lowest one): 50 meV per atom


# 2
The following is a DFT calculation (PBE) of a geometry-optimized HfGaCo structure.

a = 6.5151 Å, b = 6.5151 Å, c = 3.7513 Å
α = 90.00°, β = 90.00°, γ = 120.00°
Space group P-62m (No. 189)
Inequivalent atoms, fractional coordinates:
1 Hf 0.0000 0.5760 0.0000 [3 per cell]
2 Ga 0.0000 0.0000 0.0000 [1 per cell]
3 Ga 0.3333 0.6667 0.5000 [2 per cell]
4 Co 0.0000 0.2401 0.5000 [3 per cell]

## Properties
VASP energy: -7.153 eV per atom
Total moment: 0.01 μB per cell


# 3
The following is a DFT calculation (PBE) of a geometry-optimized KTcO3 structure.

a = 5.4613 Å, b = 5.4613 Å, c = 17.1182 Å
α = 90.00°, β = 90.00°, γ = 120.00°
Space group R-3 (No. 148, hexagonal axes)
Inequivalent atoms, fractional coordinates:
1 K 0.0000 0.0000 0.1355 [6 per cell]
2 Tc 0.0000 0.0000 0.3356 [6 per cell]
3 O 0.0038 0.4124 0.9378 [18 per cell]

## Properties
VASP energy: -6.770 eV per atom
Total moment: 5.95 μB per cell


# 4
The following is a DFT calculation (PBE) of a geometry-optimized YGaCuW structure.

a = 6.674 Å, b = 6.674 Å, c = 6.674 Å
α = 90.00°, β = 90.00°, γ = 90.00°
Space group F-43m (No. 216)
Inequivalent atoms, fractional coordinates:
1 Y 0.000 0.000 0.000 [4 per cell]
2 Ga 0.250 0.250 0.250 [4 per cell]
3 Cu 0.000 0.000 0.500 [4 per cell]
4 W 0.250 0.250 0.750 [4 per cell]

## Properties
VASP energy: -5.863 eV per atom
Total moment: 8.23 μB per cell
Polymorph energy (0 for the lowest one): 167 meV per atom


# 5
The following is a DFT calculation (PBE) of a geometry-optimized ScSiGePt structure.

a = 4.006 Å, b = 11.031 Å, c = 6.216 Å
α = 90.00°, β = 90.00°, γ = 90.00°
Space group Cmc2_1 (No. 36)
Inequivalent atoms, fractional coordinates:
1 Sc 0.000 0.106 0.000 [4 per cell]
2 Si 0.000 0.326 0.220 [4 per cell]
3 Ge 0.000 0.441 0.808 [4 per cell]
4 Pt 0.000 0.163 0.493 [4 per cell]

## Properties
VASP energy: -6.406 eV per atom
Total moment: 0.00 μB per cell
Polymorph energy (0 for the lowest one): 0 meV per atom


# 6
The following is a DFT calculation (PBE) of a geometry-optimized CsRbAu3 structure.

a = 5.063 Å, b = 5.589 Å, c = 10.696 Å
α = 90.00°, β = 90.00°, γ = 90.00°
Space group Imm2 (No. 44)
Inequivalent atoms, fractional coordinates:
1 Cs 0.000 0.000 0.000 [2 per cell]
2 Rb 0.000 0.000 0.394 [2 per cell]
3 Au 0.000 0.252 0.700 [4 per cell]
4 Au 0.000 0.500 0.201 [2 per cell]

## Properties
VASP energy: -2.617 eV per atom


# 7
The following is a DFT calculation (PBE) of a geometry-optimized Nb4SnAuC2 structure.

a = 3.2258 Å, b = 3.2258 Å, c = 13.9207 Å
α = 90.00°, β = 90.00°, γ = 120.00°
Space group P-6m2 (No. 187)
Inequivalent atoms, fractional coordinates:
1 Nb 0.0000 0.0000 0.1621 [2 per cell]
2 Nb 0.3333 0.6667 0.3307 [2 per cell]
3 Sn 0.0000 0.0000 0.5000 [1 per cell]
4 Au 0.3333 0.6667 0.0000 [1 per cell]
5 C 0.6667 0.3333 0.2448 [2 per cell]

## Properties
VASP energy: -8.663 eV per atom
Total moment: 0.00 μB per cell


# 8
The following is a DFT calculation (PBE) of a geometry-optimized AsPt17 structure.

a = 4.782 Å, b = 5.535 Å, c = 28.191 Å
α = 90.00°, β = 91.29°, γ = 90.00°
Space group P2_1/m (No. 11)
Inequivalent atoms, fractional coordinates:
1 As 0.193 0.250 0.169 [2 per cell]
2 Pt 0.000 0.000 0.500 [2 per cell]
3 Pt 0.018 0.002 0.747 [4 per cell]
4 Pt 0.152 0.250 0.418 [2 per cell]
5 Pt 0.153 0.750 0.418 [2 per cell]
6 Pt 0.190 0.250 0.664 [2 per cell]
7 Pt 0.194 0.750 0.168 [2 per cell]
8 Pt 0.195 0.750 0.666 [2 per cell]
9 Pt 0.305 0.006 0.832 [4 per cell]
10 Pt 0.309 0.001 0.335 [4 per cell]
11 Pt 0.347 0.501 0.583 [4 per cell]
12 Pt 0.475 0.250 0.247 [2 per cell]
13 Pt 0.486 0.750 0.253 [2 per cell]
14 Pt 0.500 0.250 0.500 [2 per cell]

## Properties
VASP energy: -5.889 eV per atom
Total moment: 0.03 μB per cell
Polymorph energy (0 for the lowest one): 6 meV per atom


# 9
The following is a DFT calculation (PBE) of a geometry-optimized ErTlNiSe3 structure.

a = 9.109 Å, b = 3.990 Å, c = 9.437 Å
α = 90.00°, β = 109.16°, γ = 90.00°
Space group P2_1/m (No. 11)
Inequivalent atoms, fractional coordinates:
1 Er 0.177 0.250 0.142 [2 per cell]
2 Tl 0.289 0.750 0.770 [2 per cell]
3 Ni 0.418 0.750 0.403 [2 per cell]
4 Se 0.034 0.250 0.830 [2 per cell]
5 Se 0.315 0.250 0.469 [2 per cell]
6 Se 0.396 0.750 0.141 [2 per cell]

## Properties
VASP energy: -4.769 eV per atom
Total moment: 2.04 μB per cell


# 10
The following is a DFT calculation (PBE) of a geometry-optimized HoTm2Si4Pd4 structure.

a = 4.085 Å, b = 6.957 Å, c = 13.575 Å
α = 90.00°, β = 90.00°, γ = 90.00°
Space group Immm (No. 71)
Inequivalent atoms, fractional coordinates:
1 Ho 0.000 0.000 0.000 [2 per cell]
2 Tm 0.000 0.500 0.125 [4 per cell]
3 Si 0.000 0.000 0.220 [4 per cell]
4 Si 0.000 0.181 0.500 [4 per cell]
5 Pd 0.000 0.299 0.326 [8 per cell]

## Properties
VASP energy: -6.046 eV per atom
Total moment: 0.05 μB per cell


# 11
The following is a DFT calculation (PBE) of a geometry-optimized CdGaTe structure.

a = 7.055 Å, b = 7.055 Å, c = 7.055 Å
α = 90.00°, β = 90.00°, γ = 90.00°
Space group F-43m (No. 216)
Inequivalent atoms, fractional coordinates:
1 Cd 0.000 0.000 0.000 [4 per cell]
2 Ga 0.250 0.250 0.750 [4 per cell]
3 Te 0.250 0.250 0.250 [4 per cell]

## Properties
VASP energy: -2.354 eV per atom
Polymorph energy (0 for the lowest one): 0 meV per atom


# 12
The following is a DFT calculation (PBE) of a geometry-optimized Dy3Cd3GaAg2 structure.

a = 7.5152 Å, b = 7.5152 Å, c = 4.2185 Å
α = 90.00°, β = 90.00°, γ = 120.00°
Space group P-62m (No. 189)
Inequivalent atoms, fractional coordinates:
1 Dy 0.0000 0.4116 0.0000 [3 per cell]
2 Cd 0.0000 0.7527 0.5000 [3 per cell]
3 Ga 0.0000 0.0000 0.0000 [1 per cell]
4 Ag 0.3333 0.6667 0.5000 [2 per cell]

## Properties
VASP energy: -3.167 eV per atom
Total moment: 0.01 μB per cell


# 13
The following is a DFT calculation (PBE) of a geometry-optimized ZnFeHgOs structure.

a = 6.283 Å, b = 6.283 Å, c = 6.283 Å
α = 90.00°, β = 90.00°, γ = 90.00°
Space group F-43m (No. 216)
Inequivalent atoms, fractional coordinates:
1 Zn 0.000 0.000 0.000 [4 per cell]
2 Fe 0.250 0.250 0.250 [4 per cell]
3 Hg 0.250 0.250 0.750 [4 per cell]
4 Os 0.000 0.000 0.500 [4 per cell]

## Properties
VASP energy: -4.663 eV per atom
Calculated formation energy: 0.611 eV/atom
Total moment: 12.76 μB per cell
Polymorph energy (0 for the lowest one): 0 meV per atom


# 14
The following is a DFT calculation (PBE) of a geometry-optimized Mo2C structure.

a = 7.141 Å, b = 7.141 Å, c = 7.141 Å
α = 90.00°, β = 90.00°, γ = 90.00°
Space group Fd-3m (No. 227, origin choice 2)
Inequivalent atoms, fractional coordinates:
1 Mo 0.000 0.000 0.000 [16 per cell]
2 C 0.125 0.125 0.625 [8 per cell]

## Properties
VASP energy: -7.953 eV per atom
Total moment: 0.00 μB per cell


# 15
The following is a DFT calculation (PBE) of a geometry-optimized LiDyNO structure.

a = 4.720 Å, b = 4.720 Å, c = 4.435 Å
α = 90.00°, β = 90.00°, γ = 90.00°
Space group P4/nmm (No. 129, origin choice 2)
Inequivalent atoms, fractional coordinates:
1 Li 0.250 0.250 0.000 [2 per cell]
2 Dy 0.250 0.750 0.500 [2 per cell]
3 N 0.250 0.250 0.498 [2 per cell]
4 O 0.250 0.750 0.000 [2 per cell]

## Properties
VASP energy: -6.474 eV per atom
Total moment: 2.00 μB per cell
Polymorph energy (0 for the lowest one): 91 meV per atom


# 16
The following is a DFT calculation (PBE) of a geometry-optimized LiNbAgTe2Se structure.

a = 3.768 Å, b = 14.239 Å, c = 10.406 Å
α = 90.00°, β = 90.00°, γ = 90.00°
Space group Cmcm (No. 63)
Inequivalent atoms, fractional coordinates:
1 Li 0.000 0.245 0.250 [4 per cell]
2 Nb 0.000 0.500 0.000 [4 per cell]
3 Ag 0.000 0.041 0.750 [4 per cell]
4 Te 0.000 0.149 0.537 [8 per cell]
5 Se 0.000 0.412 0.750 [4 per cell]

## Properties
VASP energy: -4.457 eV per atom
Total moment: 3.81 μB per cell


# 17
The following is a DFT calculation (PBE) of a geometry-optimized Er3CdC structure.

a = 4.870 Å, b = 4.870 Å, c = 4.870 Å
α = 90.00°, β = 90.00°, γ = 90.00°
Space group Pm-3m (No. 221)
Inequivalent atoms, fractional coordinates:
1 Er 0.000 0.000 0.500 [3 per cell]
2 Cd 0.500 0.500 0.500 [1 per cell]
3 C 0.000 0.000 0.000 [1 per cell]

## Properties
VASP energy: -5.103 eV per atom
Total moment: 1.00 μB per cell


# 18
The following is a DFT calculation (PBE) of a geometry-optimized Tm6GaNi2 structure.

a = 9.129 Å, b = 9.417 Å, c = 9.815 Å
α = 90.00°, β = 90.00°, γ = 90.00°
Space group Immm (No. 71)
Inequivalent atoms, fractional coordinates:
1 Tm 0.000 0.196 0.237 [8 per cell]
2 Tm 0.195 0.500 0.173 [8 per cell]
3 Tm 0.216 0.319 0.500 [8 per cell]
4 Ga 0.000 0.000 0.000 [2 per cell]
5 Ga 0.000 0.000 0.500 [2 per cell]
6 Ni 0.000 0.349 0.000 [4 per cell]
7 Ni 0.000 0.500 0.378 [4 per cell]

## Properties
VASP energy: -4.956 eV per atom
Total moment: 0.03 μB per cell


# 19
The following is a DFT calculation (PBE) of a geometry-optimized NaLaFeMo structure.

a = 6.977 Å, b = 6.977 Å, c = 6.977 Å
α = 90.00°, β = 90.00°, γ = 90.00°
Space group F-43m (No. 216)
Inequivalent atoms, fractional coordinates:
1 Na 0.000 0.000 0.000 [4 per cell]
2 La 0.000 0.000 0.500 [4 per cell]
3 Fe 0.250 0.250 0.250 [4 per cell]
4 Mo 0.250 0.250 0.750 [4 per cell]

## Properties
VASP energy: -5.267 eV per atom
Total moment: 18.47 μB per cell
Polymorph energy (0 for the lowest one): 204 meV per atom


# 20
The following is a DFT calculation (PBE) of a geometry-optimized TbNdSi2 structure.

a = 3.893 Å, b = 8.118 Å, c = 5.826 Å
α = 90.00°, β = 90.00°, γ = 90.00°
Space group Pmn2_1 (No. 31)
Inequivalent atoms, fractional coordinates:
1 Tb 0.000 0.069 0.000 [2 per cell]
2 Nd 0.000 0.572 0.729 [2 per cell]
3 Si 0.000 0.207 0.492 [2 per cell]
4 Si 0.000 0.720 0.241 [2 per cell]

## Properties
VASP energy: -5.854 eV per atom
Total moment: 0.01 μB per cell
Polymorph energy (0 for the lowest one): 0 meV per atom


# 21
The following is a DFT calculation (PBE) of a geometry-optimized Re2TeCSe structure.

a = 3.4177 Å, b = 3.4177 Å, c = 9.3793 Å
α = 90.00°, β = 90.00°, γ = 120.00°
Space group P3m1 (No. 156)
Inequivalent atoms, fractional coordinates:
1 Re 0.0000 0.0000 0.0000 [1 per cell]
2 Re 0.3333 0.6667 0.2112 [1 per cell]
3 Te 0.0000 0.0000 0.4301 [1 per cell]
4 C 0.6667 0.3333 0.1590 [1 per cell]
5 Se 0.3333 0.6667 0.8329 [1 per cell]

## Properties
VASP energy: -7.896 eV per atom
Total moment: 0.01 μB per cell


# 22
The following is a DFT calculation (PBE) of a geometry-optimized CsHfZn structure.

a = 7.407 Å, b = 7.407 Å, c = 7.407 Å
α = 90.00°, β = 90.00°, γ = 90.00°
Space group F-43m (No. 216)
Inequivalent atoms, fractional coordinates:
1 Cs 0.000 0.000 0.000 [4 per cell]
2 Hf 0.250 0.250 0.750 [4 per cell]
3 Zn 0.250 0.250 0.250 [4 per cell]

## Properties
VASP energy: -2.192 eV per atom
Total moment: 0.13 μB per cell
Polymorph energy (0 for the lowest one): 445 meV per atom


# 23
The following is a DFT calculation (PBE) of a geometry-optimized TbInTe4Au3 structure.

a = 6.195 Å, b = 8.209 Å, c = 10.955 Å
α = 90.00°, β = 104.26°, γ = 90.00°
Space group P2_1/m (No. 11)
Inequivalent atoms, fractional coordinates:
1 Tb 0.097 0.250 0.317 [2 per cell]
2 In 0.280 0.250 0.942 [2 per cell]
3 Te 0.065 0.250 0.590 [2 per cell]
4 Te 0.173 0.750 0.951 [2 per cell]
5 Te 0.369 0.533 0.265 [4 per cell]
6 Au 0.294 0.563 0.530 [4 per cell]
7 Au 0.431 0.750 0.781 [2 per cell]

## Properties
VASP energy: -3.655 eV per atom
Total moment: 0.00 μB per cell
Polymorph energy (0 for the lowest one): 0 meV per atom